## one
An optimized crystal structure of YGaTeN2, computed with PBE-GGA.

As for the calculated volume: 25.24 Å³/atom.

The space group is P4/mmm (No. 123) and the conventional cell measures 4.4933, 4.4933 and 6.2499 Å, with angles of 90.00, 90.00 and 90.00 degrees. The distinct sites, in fractional coordinates, are Y at (0.0000, 0.0000, 0.0000), Ga at (0.5000, 0.5000, 0.5000), Te at (0.0000, 0.0000, 0.5000) and N at (0.0000, 0.5000, 0.0000).



## two
An optimized crystal structure of YGaTeN2, computed with PBE-GGA.

As for the calculated volume: 18.69 Å³/atom.

The space group is P4/mmm (No. 123) and the conventional cell measures 4.1314, 4.1314 and 5.4748 Å, with angles of 90.00, 90.00 and 90.00 degrees. The distinct sites, in fractional coordinates, are Y at (0.0000, 0.0000, 0.0000), Ga at (0.5000, 0.5000, 0.5000), Te at (0.5000, 0.5000, 0.0000) and N at (0.0000, 0.5000, 0.5000).



Most stable structure, least stable structure: two, one.



## one
An optimized crystal structure of ZrGaTe2N, computed with PBE-GGA.

As for the calculated volume: 27.67 Å³/atom.

The space group is P4/mmm (No. 123) and the conventional cell measures 5.8774, 5.8774 and 4.0047 Å, with angles of 90.00, 90.00 and 90.00 degrees. The distinct sites, in fractional coordinates, are Zr at (0.0000, 0.0000, 0.0000), Ga at (0.5000, 0.5000, 0.5000), Te at (0.0000, 0.5000, 0.0000) and N at (0.0000, 0.0000, 0.5000).



## two
An optimized crystal structure of ZrGaTe2N, computed with PBE-GGA.

As for the calculated volume: 22.13 Å³/atom.

The space group is P4/mmm (No. 123) and the conventional cell measures 5.5366, 5.5366 and 3.6094 Å, with angles of 90.00, 90.00 and 90.00 degrees. The distinct sites, in fractional coordinates, are Zr at (0.0000, 0.0000, 0.0000), Ga at (0.5000, 0.5000, 0.5000), Te at (0.0000, 0.5000, 0.5000) and N at (0.5000, 0.5000, 0.0000).



Most stable structure, least stable structure: one, two.



## one
An optimized crystal structure of TiGa2N, computed with PBE-GGA.

As for the calculated volume: 14.87 Å³/atom.

The space group is I-42d (No. 122) and the conventional cell measures 7.5920, 7.5920 and 4.1264 Å, with angles of 90.00, 90.00 and 90.00 degrees. The distinct sites, in fractional coordinates, are Ti at (0.0000, 0.0000, 0.0000), Ga at (0.1505, 0.7500, 0.6250) and N at (0.0000, 0.0000, 0.5000).



## two
An optimized crystal structure of TiGa2N, computed with PBE-GGA.

As for the calculated volume: 14.67 Å³/atom.

The space group is Fm-3m (No. 225) and the conventional cell measures 6.1685, 6.1685 and 6.1685 Å, with angles of 90.00, 90.00 and 90.00 degrees. The distinct sites, in fractional coordinates, are Ti at (0.0000, 0.0000, 0.0000), Ga at (0.2500, 0.2500, 0.2500) and N at (0.0000, 0.0000, 0.5000).



Most stable structure, least stable structure: one, two.



## one
An optimized crystal structure of Ti4Ga2N, computed with PBE-GGA.

As for the calculated volume: 15.08 Å³/atom.

The space group is P2/m (No. 10) and the conventional cell measures 5.1528, 3.0252 and 7.1005 Å, with angles of 90.00, 107.50 and 90.00 degrees. The distinct sites, in fractional coordinates, are Ti at (0.1223, 0.0000, 0.2865), Ti at (0.3472, 0.5000, 0.6375), Ga at (0.2524, 0.5000, 0.9982) and N at (0.5000, 0.0000, 0.5000).



## two
An optimized crystal structure of Ti4Ga2N, computed with PBE-GGA.

As for the calculated volume: 14.23 Å³/atom.

The space group is Fd-3m (No. 227, origin choice 2) and the conventional cell measures 11.6799, 11.6799 and 11.6799 Å, with angles of 90.00, 90.00 and 90.00 degrees. The distinct sites, in fractional coordinates, are Ti at (0.0000, 0.0000, 0.0000), Ti at (0.0609, 0.3750, 0.8750), Ga at (0.0320, 0.0320, 0.2180) and N at (0.0000, 0.0000, 0.5000).



Most stable structure, least stable structure: two, one.